[1]
## Pm2Dy3Tm (PBE)

Data for a geometry-optimized Pm2Dy3Tm structure.

a = 8.971 Å, b = 8.971 Å, c = 9.706 Å
α = 122.62°, β = 122.62°, γ = 36.70°
Fractional coordinates of all 12 atoms:
Pm 0.002 0.002 0.337
Pm 0.249 0.249 0.571
Pm 0.751 0.751 0.429
Pm 0.998 0.998 0.663
Dy 0.124 0.124 0.117
Dy 0.250 0.250 0.909
Dy 0.498 0.498 0.831
Dy 0.502 0.502 0.169
Dy 0.750 0.750 0.091
Dy 0.876 0.876 0.883
Tm 0.375 0.375 0.368
Tm 0.625 0.625 0.632

Properties
VASP energy (eV for the cell shown): -54.79
Symmetry: C2/m (12)
DFT formation energy (eV per atom): 0.064

=====

[2]
## LaZr2Mo (PBE)

Data for a geometry-optimized LaZr2Mo structure.

a = 8.871 Å, b = 3.221 Å, c = 6.777 Å
α = 90.00°, β = 95.95°, γ = 90.00°
Fractional coordinates of all 8 atoms:
La 0.000 0.000 0.000
La 0.500 0.500 0.000
Zr 0.236 0.000 0.695
Zr 0.264 0.500 0.305
Zr 0.736 0.500 0.695
Zr 0.764 0.000 0.305
Mo 0.000 0.500 0.500
Mo 0.500 0.000 0.500

Properties
VASP energy (eV for the cell shown): -63.18
Symmetry: C2/m (12)
DFT formation energy (eV per atom): 0.317

=====

[3]
## LaNd8Sn6 (PBE)

Data for a geometry-optimized LaNd8Sn6 structure.

a = 8.563 Å, b = 8.563 Å, c = 8.563 Å
α = 66.69°, β = 66.69°, γ = 66.69°
Fractional coordinates of all 15 atoms:
La 0.000 0.000 0.000
Nd 0.105 0.434 0.773
Nd 0.227 0.895 0.566
Nd 0.333 0.333 0.333
Nd 0.434 0.773 0.105
Nd 0.566 0.227 0.895
Nd 0.667 0.667 0.667
Nd 0.773 0.105 0.434
Nd 0.895 0.566 0.227
Sn 0.068 0.731 0.406
Sn 0.269 0.594 0.932
Sn 0.406 0.068 0.731
Sn 0.594 0.932 0.269
Sn 0.731 0.406 0.068
Sn 0.932 0.269 0.594

Properties
VASP energy (eV for the cell shown): -75.79
Symmetry: R-3 (148)
DFT formation energy (eV per atom): -0.580

=====

[4]
## BeAsRu (PBE)

Data for a geometry-optimized BeAsRu structure.

a = 2.907 Å, b = 2.907 Å, c = 5.628 Å
α = 90.00°, β = 90.00°, γ = 120.00°
Fractional coordinates of all 3 atoms:
Be 0.000 0.000 0.000
As 0.333 0.667 0.636
Ru 0.667 0.333 0.303

Properties
VASP energy (eV for the cell shown): -17.41
Symmetry: P3m1 (156)
DFT formation energy (eV per atom): 0.081

=====

[5]
## PaTaZn17 (PBE)

Data for a geometry-optimized PaTaZn17 structure.

a = 6.711 Å, b = 6.711 Å, c = 6.711 Å
α = 82.72°, β = 82.72°, γ = 82.72°
Fractional coordinates of all 19 atoms:
Pa 0.000 0.000 0.000
Ta 0.337 0.337 0.337
Zn 0.033 0.033 0.475
Zn 0.033 0.475 0.033
Zn 0.148 0.681 0.681
Zn 0.313 0.313 0.797
Zn 0.313 0.797 0.313
Zn 0.366 0.657 0.969
Zn 0.366 0.969 0.657
Zn 0.475 0.033 0.033
Zn 0.556 0.556 0.556
Zn 0.657 0.366 0.969
Zn 0.657 0.969 0.366
Zn 0.681 0.148 0.681
Zn 0.681 0.681 0.148
Zn 0.757 0.757 0.757
Zn 0.797 0.313 0.313
Zn 0.969 0.366 0.657
Zn 0.969 0.657 0.366

Properties
VASP energy (eV for the cell shown): -42.82
Symmetry: R3m (160)
DFT formation energy (eV per atom): 0.010

=====

[6]
## K2SiW (PBE)

Data for a geometry-optimized K2SiW structure.

a = 2.788 Å, b = 2.788 Å, c = 11.732 Å
α = 90.00°, β = 90.00°, γ = 90.00°
Fractional coordinates of all 4 atoms:
K 0.000 0.000 0.236
K 0.000 0.000 0.764
Si 0.500 0.500 0.000
W 0.500 0.500 0.500

Properties
Formation energy from raw total energies (eV/f.u.): 4.76
VASP energy (eV for the cell shown): -15.81
Symmetry: P4/mmm (123)

=====

[7]
## CaPmNdLu (PBE)

Data for a geometry-optimized CaPmNdLu structure.

a = 8.198 Å, b = 8.198 Å, c = 8.198 Å
α = 90.00°, β = 90.00°, γ = 90.00°
Fractional coordinates of all 16 atoms:
Ca 0.000 0.000 0.000
Ca 0.000 0.500 0.500
Ca 0.500 0.000 0.500
Ca 0.500 0.500 0.000
Pm 0.250 0.250 0.750
Pm 0.250 0.750 0.250
Pm 0.750 0.250 0.250
Pm 0.750 0.750 0.750
Nd 0.250 0.250 0.250
Nd 0.250 0.750 0.750
Nd 0.750 0.250 0.750
Nd 0.750 0.750 0.250
Lu 0.000 0.000 0.500
Lu 0.000 0.500 0.000
Lu 0.500 0.000 0.000
Lu 0.500 0.500 0.500

Properties
VASP energy (eV for the cell shown): -62.35
Symmetry: F-43m (216)
DFT formation energy (eV per atom): 0.113

=====

[8]
## Mn2AsP (PBE)

Data for a geometry-optimized Mn2AsP structure.

a = 7.831 Å, b = 2.927 Å, c = 4.699 Å
α = 90.00°, β = 106.12°, γ = 90.00°
Fractional coordinates of all 8 atoms:
Mn 0.000 0.000 0.000
Mn 0.227 0.000 0.608
Mn 0.500 0.500 0.000
Mn 0.727 0.500 0.608
As 0.253 0.500 0.198
As 0.753 0.000 0.198
P 0.013 0.500 0.647
P 0.513 0.000 0.647

Properties
VASP energy (eV for the cell shown): -58.21
Symmetry: Cm (8)
DFT formation energy (eV per atom): -0.176

=====

[9]
## DyNpSc2S4 (PBE)

Data for a geometry-optimized DyNpSc2S4 structure.

a = 6.580 Å, b = 3.787 Å, c = 6.595 Å
α = 90.00°, β = 109.20°, γ = 90.00°
Fractional coordinates of all 8 atoms:
Dy 0.000 0.000 0.000
Np 0.000 0.500 0.500
Sc 0.500 0.000 0.500
Sc 0.500 0.500 0.000
S 0.266 0.000 0.756
S 0.267 0.500 0.254
S 0.733 0.500 0.746
S 0.734 0.000 0.244

Properties
Formation energy from raw total energies (eV/f.u.): -14.17
VASP energy (eV for the cell shown): -60.89
Symmetry: P2/m (10)

=====

[10]
## Hf4CrB2 (PBE)

Data for a geometry-optimized Hf4CrB2 structure.

a = 4.818 Å, b = 4.818 Å, c = 11.054 Å
α = 90.00°, β = 90.00°, γ = 90.00°
Fractional coordinates of all 14 atoms:
Hf 0.000 0.000 0.230
Hf 0.000 0.000 0.770
Hf 0.000 0.500 0.000
Hf 0.000 0.500 0.500
Hf 0.500 0.000 0.000
Hf 0.500 0.000 0.500
Hf 0.500 0.500 0.270
Hf 0.500 0.500 0.730
Cr 0.000 0.000 0.000
Cr 0.500 0.500 0.500
B 0.000 0.000 0.429
B 0.000 0.000 0.571
B 0.500 0.500 0.071
B 0.500 0.500 0.929

Properties
VASP energy (eV for the cell shown): -118.62
Symmetry: I4/mmm (139)
DFT formation energy (eV per atom): 0.497

=====

[11]
## SmEr5Tm8 (PBE)

Data for a geometry-optimized SmEr5Tm8 structure.

a = 8.325 Å, b = 8.325 Å, c = 8.325 Å
α = 111.24°, β = 111.24°, γ = 105.99°
Fractional coordinates of all 14 atoms:
Sm 0.000 0.000 0.000
Er 0.036 0.439 0.824
Er 0.250 0.750 0.500
Er 0.561 0.385 0.597
Er 0.615 0.211 0.176
Er 0.789 0.964 0.403
Tm 0.092 0.331 0.419
Tm 0.277 0.172 0.752
Tm 0.328 0.908 0.240
Tm 0.419 0.524 0.248
Tm 0.476 0.723 0.895
Tm 0.669 0.088 0.760
Tm 0.828 0.581 0.105
Tm 0.912 0.672 0.581

Properties
VASP energy (eV for the cell shown): -59.75
Symmetry: I-4 (82)
DFT formation energy (eV per atom): 0.254

=====

[12]
## K4H12Se (PBE)

Data for a geometry-optimized K4H12Se structure.

a = 7.431 Å, b = 7.431 Å, c = 7.431 Å
α = 109.47°, β = 109.47°, γ = 109.47°
Fractional coordinates of all 17 atoms:
K 0.000 0.000 0.500
K 0.000 0.500 0.000
K 0.500 0.000 0.000
K 0.500 0.500 0.500
H 0.136 0.591 0.455
H 0.136 0.682 0.545
H 0.318 0.455 0.864
H 0.409 0.545 0.864
H 0.455 0.136 0.591
H 0.455 0.864 0.318
H 0.545 0.136 0.682
H 0.545 0.864 0.409
H 0.591 0.455 0.136
H 0.682 0.545 0.136
H 0.864 0.318 0.455
H 0.864 0.409 0.545
Se 0.000 0.000 0.000

Properties
VASP energy (eV for the cell shown): -49.34
Symmetry: Im-3 (204)

=====

[13]
## Ce3Sm2UN6 (PBE)

Data for a geometry-optimized Ce3Sm2UN6 structure.

a = 6.122 Å, b = 6.122 Å, c = 6.162 Å
α = 99.55°, β = 99.55°, γ = 119.90°
Fractional coordinates of all 12 atoms:
Ce 0.000 0.000 0.000
Ce 0.332 0.668 0.000
Ce 0.668 0.332 0.000
Sm 0.167 0.833 0.500
Sm 0.833 0.167 0.500
U 0.500 0.500 0.500
N 0.118 0.421 0.265
N 0.276 0.276 0.740
N 0.421 0.118 0.265
N 0.579 0.882 0.735
N 0.724 0.724 0.260
N 0.882 0.579 0.735

Properties
Formation energy from raw total energies (eV/f.u.): -18.03
VASP energy (eV for the cell shown): -106.51
Symmetry: C2/m (12)

=====

[14]
## AcLaPd2 (PBE)

Data for a geometry-optimized AcLaPd2 structure.

a = 3.758 Å, b = 3.758 Å, c = 7.422 Å
α = 90.00°, β = 90.00°, γ = 90.00°
Fractional coordinates of all 4 atoms:
Ac 0.000 0.000 0.000
La 0.000 0.000 0.500
Pd 0.500 0.500 0.266
Pd 0.500 0.500 0.734

Properties
VASP energy (eV for the cell shown): -22.32
Symmetry: P4/mmm (123)
DFT formation energy (eV per atom): -0.725